{"formula": "Al2V5W", "functional": "PBE-GGA", "state": "relaxed", "dos_ef_per_ev_cell": 15.73, "space_group": "No. 55", "volume_a3_per_atom": 14.20, "polymorph_energy_mev_per_atom": 22.4, "lattice": [[-2.838, -1.389, -2.783], [-0.304, -4.555, 2.584], [-7.578, 3.810, 5.826]], "species": ["W", "W", "V", "V", "V", "V", "V", "V", "V", "V", "V", "V", "Al", "Al", "Al", "Al"], "fractional_positions": [[0.000, 0.500, 0.000], [0.000, 0.000, 0.500], [0.000, 0.110, 0.754], [0.500, 0.180, 0.368], [0.500, 0.680, 0.132], [0.500, 0.820, 0.632], [0.500, 0.320, 0.868], [0.000, 0.390, 0.254], [0.000, 0.610, 0.746], [0.000, 0.000, 0.000], [0.000, 0.500, 0.500], [0.000, 0.890, 0.246], [0.500, 0.184, 0.117], [0.500, 0.684, 0.383], [0.500, 0.816, 0.883], [0.500, 0.316, 0.617]]}